First-principles (GGA-PBEsol) data for a geometry-optimized ReTcP2O structure, as listed in Alexandria via LeMat-Bulk.

Values from the calculation:
For the total energy, the calculation gives -38.55 eV per cell. The volume is 15.5 A^3/atom.

Unit cell a=4.6890 b=4.6890 c=3.5315 alpha=90.00 beta=90.00 gamma=90.00
With the nearest neighbours (Å) after each atom.
Atoms (fractional coordinates):
Re (0.0000, 0.0000, 0.0000)  8 P 2.94
Tc (0.5000, 0.5000, 0.5000)  2 O 1.77
P (0.0000, 0.5000, 0.5000)  2 Tc 2.34
P (0.5000, 0.0000, 0.5000)  2 Tc 2.34
O (0.5000, 0.5000, 0.0000)  2 Tc 1.77